# SrEuAl

Crystalline SrEuAl at its relaxed geometry (PBE-GGA, Alexandria via LeMat-Bulk).

Lattice parameters (Å, degrees): 3.927 3.927 7.415 105.35 105.35 90.00
Site moments in Bohr magnetons follow the coordinates.
Positions (direct):
Sr  0.029  0.029  0.058  -0.02
Al  0.673  0.673  0.345  0.01
Eu  0.298  0.298  0.597  -6.90

N(E_F): 8.023 states/eV/f.u.
ΔH_f (0 K): -11.1 kJ per mole of atoms
Energy above the most stable polymorph in this dataset: 0.00 eV/f.u.
V: 106.0 Å³ per cell

# ThZr14Sc

Crystalline ThZr14Sc at its relaxed geometry (PBE-GGA, Alexandria via LeMat-Bulk).

Lattice parameters (Å, degrees): 6.286 6.286 10.030 90.00 90.00 106.49
Positions (direct):
Zr  0.400  0.600  0.759
Zr  0.348  0.097  0.761
Zr  0.348  0.097  0.239
Zr  0.545  0.875  0.500
Zr  0.903  0.652  0.239
Zr  0.851  0.149  0.747
Zr  0.193  0.807  0.000
Zr  0.695  0.871  0.000
Zr  0.903  0.652  0.761
Zr  0.129  0.305  0.000
Zr  0.851  0.149  0.253
Zr  0.638  0.362  0.000
Zr  0.125  0.455  0.500
Zr  0.400  0.600  0.241
Sc  0.615  0.385  0.500
Th  0.056  0.944  0.500

N(E_F): 21.876 states/eV/f.u.
ΔH_f (0 K): 6.4 kJ per mole of atoms
V: 380.0 Å³ per cell

# Li2AcTiO4

Crystalline Li2AcTiO4 at its relaxed geometry (PBE-GGA, Alexandria via LeMat-Bulk).

Lattice parameters (Å, degrees): 5.407 5.186 5.186 84.32 58.57 58.57
Site moments in Bohr magnetons follow the coordinates.
Positions (direct):
O  0.384  0.158  0.499  0.01
O  0.960  0.499  0.158  0.01
O  0.040  0.842  0.501  0.01
O  0.616  0.501  0.842  0.01
Li  0.500  0.765  0.235  0.02
Li  0.500  0.235  0.765  0.02
Ti  0.000  0.500  0.500  0.34
Ac  0.000  0.000  0.000  0.05

N(E_F): 2.243 states/eV/f.u.
Uncorrected formation energy: -248 kJ per mole of atoms
V: 102.9 Å³ per cell

# Pm2Sm6Hg

Crystalline Pm2Sm6Hg at its relaxed geometry (PBE-GGA, Alexandria via LeMat-Bulk).

Lattice parameters (Å, degrees): 3.734 9.565 9.563 120.00 90.00 90.00
Positions (direct):
Sm  0.500  0.000  0.618
Sm  0.000  0.732  0.732
Sm  0.500  0.618  0.000
Sm  0.500  0.382  0.382
Sm  0.000  0.268  0.000
Sm  0.000  0.000  0.268
Pm  0.000  0.667  0.333
Pm  0.000  0.333  0.667
Hg  0.500  0.000  0.000

N(E_F): 9.652 states/eV/f.u.
ΔH_f (0 K): -9.6 kJ per mole of atoms
Energy above the most stable polymorph in this dataset: 0.00 eV/f.u.
V: 295.7 Å³ per cell

# LiHgGe

Crystalline LiHgGe at its relaxed geometry (PBE-GGA, Alexandria via LeMat-Bulk).

Lattice parameters (Å, degrees): 3.313 4.603 4.603 120.00 90.00 90.00
Positions (direct):
Hg  0.167  0.333  0.667
Li  0.667  0.667  0.333
Ge  0.166  0.000  0.000

N(E_F): 1.087 states/eV/f.u.
ΔH_f (0 K): -9.8 kJ per mole of atoms
Energy above the most stable polymorph in this dataset: 0.15 eV/f.u.
V: 60.8 Å³ per cell

# Rb3Ag5Hg12

Crystalline Rb3Ag5Hg12 at its relaxed geometry (PBE-GGA, Alexandria via LeMat-Bulk).

Lattice parameters (Å, degrees): 15.800 15.800 15.800 109.47 109.47 109.47
Positions (direct):
Ag  0.375  0.250  0.125
Ag  0.875  0.250  0.625
Ag  0.625  0.750  0.875
Ag  0.500  0.500  0.500
Ag  0.500  0.500  0.000
Ag  0.875  0.625  0.750
Ag  0.375  0.125  0.750
Ag  0.000  0.500  0.500
Ag  0.500  0.000  0.000
Ag  0.500  0.000  0.500
Ag  0.000  0.500  0.000
Ag  0.250  0.875  0.125
Ag  0.625  0.875  0.250
Ag  0.250  0.375  0.625
Ag  0.125  0.750  0.375
Ag  0.750  0.625  0.375
Ag  0.750  0.125  0.875
Ag  0.125  0.375  0.250
Ag  0.000  0.000  0.000
Ag  0.000  0.000  0.500
Hg  0.553  0.560  0.869
Hg  0.992  0.440  0.808
Hg  0.553  0.992  0.184
Hg  0.992  0.553  0.684
Hg  0.192  0.131  0.684
Hg  0.692  0.508  0.560
Hg  0.008  0.447  0.316
Hg  0.192  0.060  0.008
Hg  0.631  0.684  0.692
Hg  0.440  0.992  0.308
Hg  0.869  0.060  0.553
Hg  0.440  0.447  0.631
Hg  0.316  0.369  0.808
Hg  0.492  0.184  0.053
Hg  0.008  0.560  0.192
Hg  0.684  0.631  0.192
Hg  0.560  0.008  0.692
Hg  0.308  0.816  0.369
Hg  0.447  0.440  0.131
Hg  0.560  0.553  0.369
Hg  0.184  0.492  0.553
Hg  0.508  0.816  0.947
Hg  0.053  0.369  0.060
Hg  0.369  0.316  0.308
Hg  0.369  0.053  0.560
Hg  0.808  0.940  0.992
Hg  0.316  0.947  0.008
Hg  0.631  0.947  0.440
Hg  0.447  0.008  0.816
Hg  0.947  0.316  0.508
Hg  0.808  0.869  0.316
Hg  0.940  0.808  0.492
Hg  0.131  0.940  0.447
Hg  0.947  0.631  0.940
Hg  0.131  0.192  0.184
Hg  0.053  0.684  0.492
Hg  0.692  0.184  0.631
Hg  0.508  0.692  0.060
Hg  0.492  0.308  0.940
Hg  0.060  0.869  0.053
Hg  0.308  0.492  0.440
Hg  0.060  0.192  0.508
Hg  0.816  0.508  0.447
Hg  0.816  0.308  0.869
Hg  0.940  0.131  0.947
Hg  0.869  0.808  0.816
Hg  0.184  0.692  0.131
Hg  0.684  0.053  0.992
Rb  0.875  0.750  0.125
Rb  0.625  0.250  0.375
Rb  0.375  0.625  0.250
Rb  0.250  0.125  0.375
Rb  0.875  0.125  0.250
Rb  0.250  0.625  0.875
Rb  0.375  0.750  0.625
Rb  0.125  0.250  0.875
Rb  0.125  0.875  0.750
Rb  0.625  0.375  0.750
Rb  0.750  0.375  0.125
Rb  0.750  0.875  0.625

N(E_F): 5.346 states/eV/f.u.
ΔH_f (0 K): 4.1 kJ per mole of atoms
V: 3036.1 Å³ per cell

# Y3MnNb

Crystalline Y3MnNb at its relaxed geometry (PBE-GGA, Alexandria via LeMat-Bulk).

Lattice parameters (Å, degrees): 5.113 5.113 5.113 90.00 90.00 90.00
Site moments in Bohr magnetons follow the coordinates.
Positions (direct):
Y  0.500  0.000  0.000  0.02
Y  0.000  0.000  0.500  -0.10
Y  0.000  0.500  0.000  -0.05
Mn  0.000  0.000  0.000  1.28
Nb  0.500  0.500  0.500  -0.19

N(E_F): 11.704 states/eV/f.u.
ΔH_f (0 K): 73.8 kJ per mole of atoms
Energy above the most stable polymorph in this dataset: 0.00 eV/f.u.
V: 133.7 Å³ per cell

# Pm5Tm4Mg

Crystalline Pm5Tm4Mg at its relaxed geometry (PBE-GGA, Alexandria via LeMat-Bulk).

Lattice parameters (Å, degrees): 3.598 3.598 24.371 90.00 90.00 90.00
Positions (direct):
Mg  0.000  0.000  0.000
Tm  0.000  0.000  0.602
Tm  0.000  0.000  0.807
Tm  0.000  0.000  0.398
Tm  0.000  0.000  0.193
Pm  0.500  0.500  0.704
Pm  0.500  0.500  0.092
Pm  0.500  0.500  0.296
Pm  0.500  0.500  0.500
Pm  0.500  0.500  0.908

N(E_F): 13.865 states/eV/f.u.
ΔH_f (0 K): 0.2 kJ per mole of atoms
V: 315.5 Å³ per cell

# TaTe2

Crystalline TaTe2 at its relaxed geometry (PBE-GGA, Alexandria via LeMat-Bulk).

Lattice parameters (Å, degrees): 7.718 7.718 5.623 90.00 90.00 152.52
Positions (direct):
Te  0.844  0.156  0.250
Te  0.440  0.560  0.750
Te  0.156  0.844  0.750
Te  0.560  0.440  0.250
Ta  0.801  0.199  0.750
Ta  0.199  0.801  0.250

N(E_F): 1.427 states/eV/f.u.
Uncorrected formation energy: -13 kJ per mole of atoms
V: 154.6 Å³ per cell

# ReTc2Hg

Crystalline ReTc2Hg at its relaxed geometry (PBE-GGA, Alexandria via LeMat-Bulk).

Lattice parameters (Å, degrees): 4.856 4.856 4.856 131.27 131.27 71.39
Positions (direct):
Re  0.750  0.250  0.500
Tc  0.500  0.500  0.000
Tc  0.000  0.000  0.000
Hg  0.250  0.750  0.500

N(E_F): 5.076 states/eV/f.u.
ΔH_f (0 K): 57.4 kJ per mole of atoms
V: 63.3 Å³ per cell

# TmBe2BOs

Crystalline TmBe2BOs at its relaxed geometry (PBE-GGA, Alexandria via LeMat-Bulk).

Lattice parameters (Å, degrees): 3.253 3.689 5.706 108.86 106.56 90.00
Positions (direct):
Os  0.190  0.690  0.380
Be  0.705  0.205  0.410
Be  0.053  0.053  0.106
Tm  0.433  0.433  0.867
B  0.831  0.831  0.662

N(E_F): 2.772 states/eV/f.u.
ΔH_f (0 K): -27.0 kJ per mole of atoms
V: 61.8 Å³ per cell